# 1
Here is HfCo2Te at its PBEsol-relaxed geometry from Alexandria via LeMat-Bulk. Energies are from meta-GGA SCAN.

## Properties
Its symmetry is I-42d, No. 122. For the uncorrected formation energy, the calculation gives 1.22 eV per formula unit.

abc: 8.4956 8.4956 8.4956
angles: 151.89 151.89 40.17
Positions (direct):
Hf  0.0000  0.0000  0.0000
Hf  0.7500  0.2500  0.5000
Co  0.1386  0.6250  0.0136
Co  0.3750  0.3886  0.5136
Co  0.6114  0.1250  0.9864
Co  0.8750  0.8614  0.4864
Te  0.2500  0.7500  0.5000
Te  0.5000  0.5000  0.0000

---

# 2
Here is LiTaMn2 at its PBEsol-relaxed geometry from Alexandria via LeMat-Bulk. Energies are from meta-GGA SCAN.

## Properties
The formation energy comes out at 176 kJ/mol of formula units. Its symmetry is Cmmm, No. 65.

abc: 2.6098 2.6098 8.3411
angles: 90.00 90.00 109.68
Positions (direct):
Li  0.0000  0.0000  0.0000
Ta  0.0000  0.0000  0.5000
Mn  0.5000  0.5000  0.2557
Mn  0.5000  0.5000  0.7443

---

What calculated density values result from the calculations? In sequence: 10.366; 9.243 g cm⁻³.